Ca2ZnBiO5 after structural relaxation. Source: Alexandria via LeMat-Bulk, functional PBE-GGA.

The structure in POSCAR format:
```
Ca2ZnBiO5
1.0
3.385 0.000 0.000
-1.692 6.867 0.000
0.000 0.000 11.108
O Bi Ca Zn
10 2 4 2
Direct
0.736 0.471 0.860
0.264 0.529 0.360
0.073 0.145 0.027
0.927 0.855 0.527
0.720 0.440 0.143
0.280 0.560 0.643
0.507 0.013 0.292
0.493 0.987 0.792
0.614 0.228 0.569
0.386 0.772 0.069
0.236 0.471 0.001
0.764 0.529 0.501
0.883 0.767 0.219
0.883 0.765 0.743
0.117 0.235 0.243
0.117 0.233 0.719
0.507 0.013 0.970
0.493 0.987 0.470
```

Computed properties:
ΔE_f (raw) = -186.3 kJ/mol of atoms